# 1
Material: LiCd2Ir
Method: DFT, PBE
State: relaxed

a = 5.227 Å, b = 5.227 Å, c = 4.699 Å
α = 71.82°, β = 71.82°, γ = 34.76°
Sites, in units of the cell vectors:
1 Li 0.767 0.767 0.762
2 Cd 0.004 0.004 0.963
3 Cd 0.238 0.238 0.303
4 Ir 0.491 0.491 0.472

Summary:
- DFT formation energy (kJ/mol of formula units) = -19


# 2
Material: Ce3UTl3S8
Method: DFT, PBE
State: relaxed

a = 8.276 Å, b = 8.276 Å, c = 8.912 Å
α = 117.68°, β = 90.00°, γ = 120.00°
Sites, in units of the cell vectors:
1 U 0.000 0.000 0.500
2 S 0.775 0.550 0.307
3 S 0.225 0.968 0.693
4 S 0.266 0.533 0.299
5 S 0.734 0.467 0.701
6 S 0.225 0.450 0.693
7 S 0.775 0.032 0.307
8 S 0.743 0.968 0.693
9 S 0.257 0.032 0.307
10 Ce 0.500 0.500 0.500
11 Ce 0.500 0.000 0.500
12 Ce 0.000 0.500 0.500
13 Tl 0.500 0.500 0.000
14 Tl 0.000 0.500 0.000
15 Tl 0.000 0.000 0.000

Summary:
- uncorrected formation energy (eV/atom) = -1.407


# 3
Material: NaPm3Te4
Method: DFT, PBE
State: relaxed

a = 6.331 Å, b = 6.331 Å, c = 6.331 Å
α = 90.00°, β = 90.00°, γ = 90.00°
Sites, in units of the cell vectors:
1 Pm 0.500 0.000 0.500
2 Pm 0.000 0.500 0.500
3 Pm 0.500 0.500 0.000
4 Te 0.000 0.000 0.500
5 Te 0.500 0.500 0.500
6 Te 0.000 0.500 0.000
7 Te 0.500 0.000 0.000
8 Na 0.000 0.000 0.000

Summary:
- uncorrected formation energy (eV/atom) = -1.381


# 4
Material: Ti2SnN2
Method: DFT, PBE
State: relaxed

a = 3.967 Å, b = 3.967 Å, c = 5.911 Å
α = 70.39°, β = 70.39°, γ = 90.00°
Sites, in units of the cell vectors:
1 Sn 0.000 0.000 0.000
2 Ti 0.250 0.750 0.500
3 Ti 0.750 0.250 0.500
4 N 0.286 0.286 0.428
5 N 0.714 0.714 0.572

Summary:
- uncorrected formation energy (eV/atom) = -0.805


| no. | density (g cm⁻³) |
| --- | --- |
| 1 | 10.18 |
| 2 | 5.69 |
| 3 | 6.34 |
| 4 | 4.92 |